No. 1
{"formula": "FeReCl2", "functional": "GGA-PBE", "state": "optimized geometry", "cell": [[-1.200, 1.957, 2.059], [-2.928, -0.326, 0.912], [2.608, -5.311, 6.637]], "species": ["Re", "Fe", "Cl", "Cl"], "fractional_positions": [[0.291, 0.291, 0.470], [0.626, 0.626, 0.269], [0.961, 0.961, 0.089], [0.622, 0.622, 0.672]], "raw_formation_energy_ev_per_atom": -0.003, "magmom_total_mub_per_cell": 2.3, "n_ef_per_ev_cell": 2.66, "space_group": "Cm", "relative_energy_ev_per_atom": 0.009}

***

No. 2
{"formula": "FeReCl4", "functional": "GGA-PBE", "state": "optimized geometry", "cell": [[0.000, 4.075, 4.075], [4.075, 0.000, 4.075], [4.075, 4.075, 0.000]], "species": ["Fe", "Re", "Cl", "Cl", "Cl", "Cl"], "fractional_positions": [[0.750, 0.750, 0.750], [0.000, 0.000, 0.000], [0.875, 0.375, 0.375], [0.375, 0.375, 0.875], [0.375, 0.875, 0.375], [0.375, 0.375, 0.375]], "raw_formation_energy_ev_per_atom": 1.630, "magmom_total_mub_per_cell": 0.5, "n_ef_per_ev_cell": 10.63, "space_group": "F-43m"}

***

No. 3
{"formula": "FeReCl3", "functional": "GGA-PBE", "state": "optimized geometry", "cell": [[4.914, 0.000, 0.000], [0.000, 4.914, 0.000], [0.000, 0.000, 4.914]], "species": ["Re", "Fe", "Cl", "Cl", "Cl"], "fractional_positions": [[0.500, 0.500, 0.500], [0.000, 0.000, 0.000], [0.000, 0.500, 0.000], [0.000, 0.000, 0.500], [0.500, 0.000, 0.000]], "raw_formation_energy_ev_per_atom": 0.735, "magmom_total_mub_per_cell": 10.0, "n_ef_per_ev_cell": 4.65, "space_group": "Pm-3m", "relative_energy_ev_per_atom": 0.000}

***

No. 4
{"formula": "FeReCl2", "functional": "GGA-PBE", "state": "optimized geometry", "cell": [[-7.312, 3.465, 3.771], [-8.532, 2.620, -0.198], [7.307, -4.985, -1.206]], "species": ["Re", "Fe", "Cl", "Cl"], "fractional_positions": [[0.321, 0.821, 0.500], [0.432, 0.432, 0.000], [0.016, 0.016, 0.000], [0.731, 0.231, 0.500]], "raw_formation_energy_ev_per_atom": 0.375, "magmom_total_mub_per_cell": 2.6, "n_ef_per_ev_cell": 2.83, "space_group": "Imm2", "relative_energy_ev_per_atom": 0.386}

***

No. 5
{"formula": "FeReCl2", "functional": "GGA-PBE", "state": "optimized geometry", "cell": [[4.537, 0.000, 0.000], [2.269, 3.929, 0.000], [2.269, 1.310, 3.705]], "species": ["Re", "Fe", "Cl", "Cl"], "fractional_positions": [[0.750, 0.750, 0.750], [0.500, 0.500, 0.500], [0.000, 0.000, 0.000], [0.250, 0.250, 0.250]], "raw_formation_energy_ev_per_atom": 1.253, "magmom_total_mub_per_cell": 0.2, "n_ef_per_ev_cell": 5.28, "space_group": "F-43m", "relative_energy_ev_per_atom": 1.265}

***

No. 6
{"formula": "FeReCl2", "functional": "GGA-PBE", "state": "optimized geometry", "cell": [[4.409, 0.000, 0.000], [0.000, 4.409, 0.000], [0.000, 0.000, 3.004]], "species": ["Re", "Fe", "Cl", "Cl"], "fractional_positions": [[0.000, 0.500, 0.500], [0.500, 0.000, 0.500], [0.000, 0.000, 0.000], [0.500, 0.500, 0.000]], "raw_formation_energy_ev_per_atom": 1.130, "magmom_total_mub_per_cell": 3.6, "n_ef_per_ev_cell": 5.28, "space_group": "P4/mmm", "relative_energy_ev_per_atom": 1.141}